# 1
Below is a relaxed Sm12Tl3Zn crystal, with properties calculated at the PBE level.

Lattice parameters (Å, degrees): 4.918 4.918 19.584 90.00 90.00 90.00
Atoms (fractional coordinates):
Sm 0.000 0.000 0.000
Sm 0.000 0.000 0.245
Sm 0.000 0.000 0.500
Sm 0.000 0.000 0.755
Sm 0.000 0.500 0.119
Sm 0.000 0.500 0.373
Sm 0.000 0.500 0.627
Sm 0.000 0.500 0.881
Sm 0.500 0.000 0.119
Sm 0.500 0.000 0.373
Sm 0.500 0.000 0.627
Sm 0.500 0.000 0.881
Tl 0.500 0.500 0.248
Tl 0.500 0.500 0.500
Tl 0.500 0.500 0.752
Zn 0.500 0.500 0.000

Calculated values
- ΔH_f (0 K): -2.5 eV/f.u.
- VASP energy: -67.507 eV per cell
- D(E_F): 1.4852 states/eV per atom
- Total magnetic moment: 0.000 μB/atom

---

# 2
Below is a relaxed SmTlZn2 crystal, with properties calculated at the PBE level.

Lattice parameters (Å, degrees): 4.540 4.662 4.662 74.82 90.00 90.00
Atoms (fractional coordinates):
Sm 0.000 0.000 0.000
Tl 0.500 0.328 0.328
Zn 0.000 0.585 0.585
Zn 0.500 0.719 0.719

Calculated values
- ΔH_f (0 K): -0.3 eV/f.u.
- VASP energy: -9.901 eV per cell
- D(E_F): 0.7257 states/eV per atom
- Total magnetic moment: 0.000 μB/atom

---

# 3
Below is a relaxed Sm6Tl2Zn crystal, with properties calculated at the PBE level.

Lattice parameters (Å, degrees): 9.001 9.001 3.801 90.00 90.00 120.00
Atoms (fractional coordinates):
Sm 0.000 0.395 0.000
Sm 0.000 0.737 0.500
Sm 0.263 0.263 0.500
Sm 0.395 0.000 0.000
Sm 0.605 0.605 0.000
Sm 0.737 0.000 0.500
Tl 0.333 0.667 0.500
Tl 0.667 0.333 0.500
Zn 0.000 0.000 0.000

Calculated values
- ΔH_f (0 K): -2.1 eV/f.u.
- VASP energy: -36.417 eV per cell
- D(E_F): 1.2591 states/eV per atom
- Total magnetic moment: 0.000 μB/atom

---

# 4
Below is a relaxed Sm4TlZn2 crystal, with properties calculated at the PBE level.

Lattice parameters (Å, degrees): 9.770 9.770 9.770 30.08 30.08 30.08
Atoms (fractional coordinates):
Sm 0.118 0.118 0.118
Sm 0.298 0.298 0.298
Sm 0.702 0.702 0.702
Sm 0.882 0.882 0.882
Tl 0.500 0.500 0.500
Zn 0.402 0.402 0.402
Zn 0.598 0.598 0.598

Calculated values
- ΔH_f (0 K): -0.5 eV/f.u.
- VASP energy: -24.295 eV per cell
- D(E_F): 1.3111 states/eV per atom
- Total magnetic moment: 0.000 μB/atom

---

What did the second record say?
Below is a relaxed SmTlZn2 crystal, with properties calculated at the PBE level.

Lattice parameters (Å, degrees): 4.540 4.662 4.662 74.82 90.00 90.00
Atoms (fractional coordinates):
Sm 0.000 0.000 0.000
Tl 0.500 0.328 0.328
Zn 0.000 0.585 0.585
Zn 0.500 0.719 0.719

Calculated values
- ΔH_f (0 K): -0.3 eV/f.u.
- VASP energy: -9.901 eV per cell
- D(E_F): 0.7257 states/eV per atom
- Total magnetic moment: 0.000 μB/atom